Density functional theory data (PBE) for a geometry-optimized LiTlC structure.

Values from the calculation:
- Energy of formation: 889.3 meV/atom
- Space group: No. 62
- Magnetic moment: 0.000 μB/cell

Lattice parameters (Å, degrees): 8.6667 3.8966 5.9891 90.00 90.00 90.00
Last column: nearest neighbours and their distance in Å.
Positions (direct):
Li 0.5850 0.7500 0.9031  1 C 2.14
C 0.6583 0.2500 0.1622  1 Li 2.14, 3 Tl 2.29-2.30
Li 0.0850 0.7500 0.5969  1 C 2.14
C 0.3417 0.7500 0.8378  1 Li 2.14, 3 Tl 2.29-2.30
Li 0.4150 0.2500 0.0969  1 C 2.14
Tl 0.6764 0.7500 0.3618  3 C 2.29-2.30
Tl 0.3236 0.2500 0.6382  3 C 2.29-2.30
Tl 0.8236 0.2500 0.8618  3 C 2.29-2.30
Li 0.9150 0.2500 0.4031  1 C 2.14
C 0.1583 0.2500 0.3378  1 Li 2.14, 3 Tl 2.29-2.30
Tl 0.1764 0.7500 0.1382  3 C 2.29-2.30
C 0.8417 0.7500 0.6622  1 Li 2.14, 3 Tl 2.29-2.30